Density functional theory data (GGA-PBE) for a relaxed ZnSi2Ni crystal.

abc: 2.8371 2.8371 23.1280
angles: 90.00 90.00 120.00
Space group R-3m (No. 166, hexagonal axes)
Symmetry-distinct sites (fractional):
Zn (0.0000, 0.0000, 0.0000) x3
Si (0.0000, 0.0000, 0.2419) x6
Ni (0.0000, 0.0000, 0.5000) x3

## Properties
E_tot = -4.491 eV per atom
formation energy (no corrections) = -0.0154 eV/atom
mass density = 5.57 Mg/m³

Density functional theory data (GGA-PBE) for a relaxed Mo2IrAu crystal.

abc: 7.289 7.289 5.343
angles: 90.00 90.00 90.00
Space group I-42d (No. 122)
Symmetry-distinct sites (fractional):
Mo (0.213, 0.250, 0.125) x8
Ir (0.000, 0.000, 0.000) x4
Au (0.000, 0.000, 0.500) x4

## Properties
E_tot = -7.886 eV per atom
DFT formation energy = 565 meV per atom
mass density = 13.59 Mg/m³
distance to the lowest polymorph of the same formula = 2.32 eV per formula unit

Density functional theory data (GGA-PBE) for a relaxed Cd2Ga3Ag5 crystal.

abc: 9.995 13.086 5.722
angles: 90.00 95.46 90.00
Space group C2/c (No. 15)
Symmetry-distinct sites (fractional):
Cd (0.123, 0.244, 0.114) x8
Ga (0.000, 0.467, 0.250) x4
Ga (0.136, 0.141, 0.609) x8
Ag (0.000, 0.034, 0.250) x4
Ag (0.119, 0.344, 0.614) x8
Ag (0.244, 0.459, 0.996) x8

## Properties
E_tot = -2.512 eV per atom
DFT formation energy = 5 meV per atom
mass density = 8.68 Mg/m³
distance to the lowest polymorph of the same formula = 0.00 eV per formula unit

Density functional theory data (GGA-PBE) for a relaxed AcTb2Tm7 crystal.

abc: 3.649 11.374 16.849
angles: 90.00 90.00 90.00
Space group Immm (No. 71)
Symmetry-distinct sites (fractional):
Ac (0.000, 0.000, 0.000) x2
Tb (0.000, 0.500, 0.317) x4
Tm (0.000, 0.000, 0.339) x4
Tm (0.000, 0.253, 0.161) x8
Tm (0.000, 0.500, 0.000) x2

## Properties
E_tot = -4.147 eV per atom
DFT formation energy = 320 meV per atom
mass density = 8.20 Mg/m³

Density functional theory data (GGA-PBE) for a relaxed KAg3Sn3 crystal.

abc: 8.9205 8.9205 5.3440
angles: 90.00 90.00 120.00
Space group P6_3/m (No. 176)
Symmetry-distinct sites (fractional):
K (0.3333, 0.6667, 0.2500) x2
Ag (0.0914, 0.5461, 0.7500) x6
Sn (0.1221, 0.2455, 0.7500) x6

## Properties
E_tot = -3.046 eV per atom
DFT formation energy = 48 meV per atom
mass density = 6.48 Mg/m³
distance to the lowest polymorph of the same formula = 0.22 eV per formula unit

Density functional theory data (GGA-PBE) for a relaxed ZrSbTe2O crystal.

abc: 4.849 4.849 4.689
angles: 90.00 90.00 90.00
Space group P4/mmm (No. 123)
Symmetry-distinct sites (fractional):
Zr (0.000, 0.000, 0.000) x1
Sb (0.500, 0.500, 0.000) x1
Te (0.000, 0.500, 0.500) x2
O (0.500, 0.500, 0.500) x1

## Properties
E_tot = -4.918 eV per atom
formation energy (no corrections) = -0.1359 eV/atom
mass density = 7.29 Mg/m³
distance to the lowest polymorph of the same formula = 0.00 eV per formula unit